[1]
SiHgI2, relaxed, DFT PBEsol; symmetry = Fd-3m (227); magnetization = 0.000 μB/f.u.; VASP energy = -18.035 eV/cell; ΔE_f (raw) = 0.2074 eV per atom
1.0
-8.391 -0.681 -2.558
-2.168 -5.430 -6.574
-4.528 -7.354 1.680
Hg I Si
2 4 2
Cartesian
-11.315 -10.099 -5.589
-7.543 -6.732 -3.726
-6.081 -2.024 -2.211
-1.886 -1.683 -0.932
-2.970 -4.398 -4.219
-4.150 -5.360 -0.092
0.000 0.000 0.000
-3.772 -3.366 -1.863

---

[2]
SnHg3I, relaxed, DFT PBEsol; symmetry = Pm-3m (221); magnetization = 0.000 μB/f.u.; VASP energy = -7.776 eV/cell; ΔE_f (raw) = -0.0099 eV per atom
1.0
-1.236 0.031 -5.339
5.267 -0.891 -1.224
-0.875 -5.407 0.171
Hg I Sn
3 1 1
Cartesian
2.633 -0.445 -0.612
-0.618 0.016 -2.669
-0.437 -2.704 0.085
1.578 -3.133 -3.196
0.000 0.000 0.000

---

[3]
Sn2HgI2, relaxed, DFT PBEsol; symmetry = I4/mmm (139); magnetization = 0.000 μB/f.u.; VASP energy = -13.039 eV/cell; ΔE_f (raw) = -0.0839 eV per atom
1.0
-0.356 5.154 -3.624
-1.117 -5.670 -2.460
-5.854 -1.613 -1.719
I Hg Sn
2 1 2
Cartesian
-2.111 -1.950 -2.566
-5.216 -0.179 -5.237
0.000 0.000 0.000
-2.526 0.960 -3.882
-4.801 -3.089 -3.921

---

[4]
Sr2HgI2, relaxed, DFT PBEsol; symmetry = I4/mmm (139); magnetization = 1.666 μB/f.u.; VASP energy = -11.734 eV/cell; ΔE_f (raw) = -0.7906 eV per atom
1.0
-5.479 -2.498 1.483
5.472 -4.063 0.408
2.129 -1.296 5.679
Sr I Hg
2 2 1
Cartesian
1.898 -2.980 1.994
0.223 -4.877 5.575
3.231 -4.377 4.562
-1.109 -3.479 3.008
0.000 0.000 0.000

---

[5]
SrHgI2, relaxed, DFT PBEsol; symmetry = Fm-3m (225); magnetization = 0.000 μB/f.u.; VASP energy = -10.436 eV/cell; ΔE_f (raw) = -1.1238 eV per atom
1.0
5.740 0.000 0.000
2.870 4.971 0.000
2.870 1.657 4.686
I Hg Sr
2 1 1
Cartesian
8.610 4.971 3.515
2.870 1.657 1.172
5.740 3.314 2.343
0.000 0.000 0.000

---

[6]
TcHg2I, relaxed, DFT PBEsol; symmetry = Fm-3m (225); magnetization = 2.054 μB/f.u.; VASP energy = -9.725 eV/cell; ΔE_f (raw) = 1.1106 eV per atom
1.0
5.022 0.000 0.000
2.511 4.350 0.000
2.511 1.450 4.101
Hg I Tc
2 1 1
Cartesian
2.511 1.450 1.025
7.534 4.350 3.076
5.022 2.900 2.050
0.000 0.000 0.000